5
Lattice="-3.153 -1.513 -0.158 1.333 -2.924 1.390 -2.121 -0.247 5.924" Properties=species:S:1:pos:R:3 comment="PBE TlFe2Si2, optimized geometry" raw_formation_energy_ev_per_atom=-0.011 magmom_total_mub_per_fu=0.451 spacegroup="No. 139" polymorph_energy_ev_per_atom=0.000 n_ef_per_ev_cell=3.5 pbc="T T T"
Tl 0.000 0.000 0.000
Si -3.092 -1.989 3.191
Si -0.849 -2.694 3.965
Fe -1.194 -1.755 1.862
Fe -2.747 -2.928 5.295